# Pm5Ni2Sn5

A geometry-optimized Pm5Ni2Sn5 structure (PBE-GGA, Alexandria).

Cell lengths 16.1793, 4.5788, 10.9850 Å; angles 90.00, 130.41, 90.00 degrees
With the nearest neighbours (Å) after each atom.
Space group C2/m (No. 12)
Inequivalent atoms, fractional coordinates:
1 Pm 0.0000 0.0000 0.0000 (multiplicity 2)  6 Sn 3.11-3.25, 4 Ni 3.15
2 Pm 0.1246 0.0000 0.4274 (multiplicity 4)  3 Ni 3.04-3.22, 5 Sn 3.17-3.34
3 Pm 0.1825 0.0000 0.8242 (multiplicity 4)  5 Sn 3.16-3.40, 1 Ni 3.28
4 Ni 0.1488 0.5000 0.2462 (multiplicity 4)  3 Sn 2.65-2.67
5 Sn 0.0000 0.5000 0.5000 (multiplicity 2)  4 Sn 3.13-3.32, 4 Pm 3.47
6 Sn 0.0494 0.5000 0.8447 (multiplicity 4)  1 Ni 2.67
7 Sn 0.2479 0.0000 0.2914 (multiplicity 4)  2 Ni 2.65

Values from the calculation:
DOS at the Fermi energy in states/eV per atom: 0.545
Size of the total moment in μB per atom: 0.000

---

# PmNi3Sn

A geometry-optimized PmNi3Sn structure (PBE-GGA, Alexandria).

Cell lengths 4.6873, 4.6873, 4.6873 Å; angles 90.00, 90.00, 90.00 degrees
With the nearest neighbours (Å) after each atom.
Space group Pm-3m (No. 221)
Inequivalent atoms, fractional coordinates:
1 Pm 0.0000 0.0000 0.0000 (multiplicity 1)  12 Ni 3.31
2 Ni 0.0000 0.5000 0.5000 (multiplicity 3)  2 Sn 2.34
3 Sn 0.5000 0.5000 0.5000 (multiplicity 1)  6 Ni 2.34

Values from the calculation:
DOS at the Fermi energy in states/eV per atom: 0.840
Size of the total moment in μB per atom: 0.000

---

# Pm4NiSn8

A geometry-optimized Pm4NiSn8 structure (PBE-GGA, Alexandria).

Cell lengths 4.4569, 4.5111, 17.0740 Å; angles 90.00, 90.00, 90.00 degrees
With the nearest neighbours (Å) after each atom.
Space group Pmm2 (No. 25)
Inequivalent atoms, fractional coordinates:
1 Pm 0.0000 0.0000 0.0000 (multiplicity 1)  10 Sn 3.22-3.39
2 Pm 0.0000 0.5000 0.4944 (multiplicity 1)  10 Sn 3.26-3.59, 1 Ni 3.60
3 Pm 0.5000 0.0000 0.7927 (multiplicity 1)  10 Sn 3.33-3.72, 4 Ni 3.50
4 Pm 0.5000 0.5000 0.2953 (multiplicity 1)  10 Sn 3.23-3.49
5 Ni 0.0000 0.5000 0.7056 (multiplicity 1)  5 Sn 2.49-2.56
6 Sn 0.0000 0.0000 0.3312 (multiplicity 1)  2 Sn 3.03, 4 Pm 3.23
7 Sn 0.0000 0.0000 0.6350 (multiplicity 1)  2 Ni 2.56
8 Sn 0.0000 0.5000 0.1462 (multiplicity 1)  4 Sn 3.17, 4 Pm 3.36-3.38
9 Sn 0.0000 0.5000 0.8517 (multiplicity 1)  1 Ni 2.49
10 Sn 0.5000 0.0000 0.1498 (multiplicity 1)  4 Sn 3.17, 4 Pm 3.36-3.39
11 Sn 0.5000 0.0000 0.4512 (multiplicity 1)  2 Sn 3.03, 4 Pm 3.26
12 Sn 0.5000 0.5000 0.6341 (multiplicity 1)  2 Ni 2.54
13 Sn 0.5000 0.5000 0.9663 (multiplicity 1)  2 Sn 2.97, 4 Pm 3.22

Values from the calculation:
DOS at the Fermi energy in states/eV per atom: 0.471
Size of the total moment in μB per atom: 0.000

---

# Pm3Ni6Sn5

A geometry-optimized Pm3Ni6Sn5 structure (PBE-GGA, Alexandria).

Cell lengths 4.3264, 13.0505, 9.6472 Å; angles 90.00, 90.00, 90.00 degrees
With the nearest neighbours (Å) after each atom.
Space group Pmmn (No. 59, origin choice 2)
Inequivalent atoms, fractional coordinates:
1 Pm 0.2500 0.0647 0.2495 (multiplicity 4)  5 Ni 3.08-3.18, 7 Sn 3.19-3.44
2 Pm 0.2500 0.7500 0.2676 (multiplicity 2)  4 Ni 3.00-3.30, 6 Sn 3.21-3.33
3 Ni 0.2500 0.0760 0.8758 (multiplicity 4)  1 Ni 2.53, 4 Sn 2.59-2.74
4 Ni 0.2500 0.2500 0.4616 (multiplicity 2)  4 Sn 2.62-2.72, 4 Ni 2.79
5 Ni 0.2500 0.2500 0.9913 (multiplicity 2)  2 Ni 2.53, 4 Sn 2.78
6 Ni 0.2500 0.6159 0.5196 (multiplicity 4)  4 Sn 2.52-2.69, 2 Ni 2.79
7 Sn 0.2500 0.0797 0.6060 (multiplicity 4)  5 Ni 2.52-2.69
8 Sn 0.2500 0.6173 0.9880 (multiplicity 4)  5 Ni 2.59-2.78
9 Sn 0.2500 0.7500 0.7093 (multiplicity 2)  4 Ni 2.53-2.72

Values from the calculation:
DOS at the Fermi energy in states/eV per atom: 0.706
Size of the total moment in μB per atom: 0.000

---

# Pm4NiSn2

A geometry-optimized Pm4NiSn2 structure (PBE-GGA, Alexandria).

Cell lengths 11.6477, 4.6063, 8.7900 Å; angles 90.00, 121.67, 90.00 degrees
With the nearest neighbours (Å) after each atom.
Space group C2/m (No. 12)
Inequivalent atoms, fractional coordinates:
1 Pm 0.0746 0.0000 0.3505 (multiplicity 4)  1 Ni 2.73
2 Pm 0.1707 0.5000 0.0628 (multiplicity 4)  2 Ni 2.90, 2 Sn 3.23
3 Ni 0.0000 0.0000 0.0000 (multiplicity 2)  6 Pm 2.73-2.90
4 Sn 0.1429 0.5000 0.6574 (multiplicity 4)  1 Sn 3.01, 5 Pm 3.23-3.33

Values from the calculation:
DOS at the Fermi energy in states/eV per atom: 0.971
Size of the total moment in μB per atom: 0.000

---

# PmNi2Sn4

A geometry-optimized PmNi2Sn4 structure (PBE-GGA, Alexandria).

Cell lengths 8.6842, 8.6842, 4.0395 Å; angles 90.00, 90.00, 90.00 degrees
With the nearest neighbours (Å) after each atom.
Space group P4_2/mnm (No. 136)
Inequivalent atoms, fractional coordinates:
1 Pm 0.0000 0.0000 0.0000 (multiplicity 2)  8 Sn 3.38, 6 Ni 3.38-3.42
2 Ni 0.2244 0.2244 0.5000 (multiplicity 4)  6 Sn 2.61-2.73
3 Sn 0.0658 0.6954 0.5000 (multiplicity 8)  3 Ni 2.61-2.73

Values from the calculation:
DOS at the Fermi energy in states/eV per atom: 0.564
Size of the total moment in μB per atom: 0.000

---

# Pm3Ni2Sn6

A geometry-optimized Pm3Ni2Sn6 structure (PBE-GGA, Alexandria).

Cell lengths 4.3353, 4.3353, 29.5271 Å; angles 90.00, 90.00, 90.00 degrees
With the nearest neighbours (Å) after each atom.
Space group I4/mmm (No. 139)
Inequivalent atoms, fractional coordinates:
1 Pm 0.0000 0.0000 0.0000 (multiplicity 2)  8 Sn 3.27
2 Pm 0.0000 0.0000 0.1670 (multiplicity 4)  5 Sn 3.15-3.29, 4 Ni 3.17
3 Ni 0.0000 0.0000 0.3601 (multiplicity 4)  5 Sn 2.55-2.74
4 Sn 0.0000 0.0000 0.2736 (multiplicity 4)  1 Ni 2.55
5 Sn 0.0000 0.5000 0.0830 (multiplicity 8)  2 Ni 2.74, 4 Sn 3.07

Values from the calculation:
DOS at the Fermi energy in states/eV per atom: 0.299
Size of the total moment in μB per atom: 0.000

---

# PmNi2Sn3

A geometry-optimized PmNi2Sn3 structure (PBE-GGA, Alexandria).

Cell lengths 12.2937, 7.7310, 5.3906 Å; angles 90.00, 90.00, 90.00 degrees
With the nearest neighbours (Å) after each atom.
Space group Cmcm (No. 63)
Inequivalent atoms, fractional coordinates:
1 Pm 0.0000 0.1632 0.2500 (multiplicity 4)  9 Sn 3.30-3.57, 4 Ni 3.60
2 Ni 0.1693 0.5000 0.0000 (multiplicity 8)  6 Sn 2.57-2.87, 2 Ni 2.70
3 Sn 0.0000 0.4085 0.7500 (multiplicity 4)  4 Ni 2.58
4 Sn 0.1904 0.1740 0.7500 (multiplicity 8)  4 Ni 2.57-2.87

Values from the calculation:
DOS at the Fermi energy in states/eV per atom: 0.522
Size of the total moment in μB per atom: 0.000

---

# PmNiSn6

A geometry-optimized PmNiSn6 structure (PBE-GGA, Alexandria).

Cell lengths 6.4040, 10.7592, 6.6781 Å; angles 90.00, 116.60, 90.00 degrees
With the nearest neighbours (Å) after each atom.
Space group C2/m (No. 12)
Inequivalent atoms, fractional coordinates:
1 Pm 0.0000 0.0000 0.0000 (multiplicity 2)  6 Sn 3.24-3.28, 2 Ni 3.34
2 Ni 0.0000 0.0000 0.5000 (multiplicity 2)  2 Sn 2.51
3 Sn 0.0626 0.5000 0.2915 (multiplicity 4)  1 Ni 2.51
4 Sn 0.1307 0.2263 0.7472 (multiplicity 8)  1 Ni 2.85, 3 Sn 2.96-3.16

Values from the calculation:
DOS at the Fermi energy in states/eV per atom: 0.522
Size of the total moment in μB per atom: 0.000

---

# Pm3Ni2Sn3

A geometry-optimized Pm3Ni2Sn3 structure (PBE-GGA, Alexandria).

Cell lengths 8.3023, 15.3062, 5.9876 Å; angles 90.00, 90.00, 90.00 degrees
With the nearest neighbours (Å) after each atom.
Space group Pnma (No. 62)
Inequivalent atoms, fractional coordinates:
1 Pm 0.0325 0.1100 0.1221 (multiplicity 8)  3 Ni 3.16-3.40, 7 Sn 3.19-3.47
2 Pm 0.1723 0.2500 0.6291 (multiplicity 4)  4 Ni 3.13-3.28, 5 Sn 3.14-3.35
3 Ni 0.0965 0.6067 0.3809 (multiplicity 8)  4 Sn 2.58-2.74
4 Sn 0.1776 0.7500 0.6103 (multiplicity 4)  2 Ni 2.67
5 Sn 0.1879 0.0390 0.6149 (multiplicity 8)  3 Ni 2.58-2.74

Values from the calculation:
DOS at the Fermi energy in states/eV per atom: 0.718
Size of the total moment in μB per atom: 0.000

---

# Pm3NiSn2

A geometry-optimized Pm3NiSn2 structure (PBE-GGA, Alexandria).

Cell lengths 8.2662, 12.7511, 6.5428 Å; angles 90.00, 90.00, 90.00 degrees
With the nearest neighbours (Å) after each atom.
Space group Ibam (No. 72)
Inequivalent atoms, fractional coordinates:
1 Pm 0.0000 0.0000 0.2500 (multiplicity 4)  4 Sn 3.20, 2 Pm 3.27
2 Pm 0.1578 0.3348 0.0000 (multiplicity 8)  2 Ni 2.97, 2 Sn 3.12-3.16
3 Ni 0.0000 0.5000 0.2500 (multiplicity 4)  4 Sn 2.70, 4 Pm 2.97
4 Sn 0.2066 0.3973 0.5000 (multiplicity 8)  2 Ni 2.70

Values from the calculation:
DOS at the Fermi energy in states/eV per atom: 1.019
Size of the total moment in μB per atom: 0.000

---

# Pm5Ni3Sn3

A geometry-optimized Pm5Ni3Sn3 structure (PBE-GGA, Alexandria).

Cell lengths 8.7915, 8.7915, 4.6004 Å; angles 90.00, 90.00, 120.00 degrees
With the nearest neighbours (Å) after each atom.
Space group P-62m (No. 189)
Inequivalent atoms, fractional coordinates:
1 Pm 0.0000 0.7575 0.0000 (multiplicity 3)  2 Ni 2.71
2 Pm 0.3333 0.6667 0.0000 (multiplicity 2)  3 Ni 2.87
3 Ni 0.0000 0.3472 0.0000 (multiplicity 3)  2 Sn 2.45, 2 Pm 2.71
4 Sn 0.0000 0.4427 0.5000 (multiplicity 3)  2 Ni 2.45

Values from the calculation:
DOS at the Fermi energy in states/eV per atom: 0.628
Size of the total moment in μB per atom: 0.000

---

# Pm2Ni3Sn4

A geometry-optimized Pm2Ni3Sn4 structure (PBE-GGA, Alexandria).

Cell lengths 6.1004, 15.4286, 7.8347 Å; angles 90.00, 90.00, 90.00 degrees
With the nearest neighbours (Å) after each atom.
Space group Cmce (No. 64)
Inequivalent atoms, fractional coordinates:
1 Pm 0.0000 0.1125 0.0962 (multiplicity 8)  2 Ni 3.12, 8 Sn 3.19-3.29
2 Ni 0.0000 0.0000 0.5000 (multiplicity 4)  6 Sn 2.64-2.84
3 Ni 0.2500 0.2294 0.7500 (multiplicity 8)  5 Sn 2.64-2.71
4 Sn 0.0000 0.1839 0.4783 (multiplicity 8)  5 Ni 2.70-2.84
5 Sn 0.2500 0.0585 0.7500 (multiplicity 8)  3 Ni 2.64

Values from the calculation:
DOS at the Fermi energy in states/eV per atom: 0.673
Size of the total moment in μB per atom: 0.000

---

# Pm8NiSn3

A geometry-optimized Pm8NiSn3 structure (PBE-GGA, Alexandria).

Cell lengths 7.3254, 7.3254, 14.6704 Å; angles 90.00, 90.00, 90.00 degrees
With the nearest neighbours (Å) after each atom.
Space group I4/mmm (No. 139)
Inequivalent atoms, fractional coordinates:
1 Pm 0.2369 0.2369 0.1173 (multiplicity 16)  1 Ni 3.00, 3 Sn 3.22-3.24
2 Ni 0.0000 0.0000 0.0000 (multiplicity 2)  8 Pm 3.00
3 Sn 0.0000 0.0000 0.5000 (multiplicity 2)  8 Pm 3.22
4 Sn 0.0000 0.5000 0.2500 (multiplicity 4)  8 Pm 3.24

Values from the calculation:
DOS at the Fermi energy in states/eV per atom: 1.248
Size of the total moment in μB per atom: 0.000

---

# Pm4NiSn

A geometry-optimized Pm4NiSn structure (PBE-GGA, Alexandria).

Cell lengths 5.7966, 6.9899, 8.6180 Å; angles 90.00, 101.58, 90.00 degrees
With the nearest neighbours (Å) after each atom.
Space group P2_1/m (No. 11)
Inequivalent atoms, fractional coordinates:
1 Pm 0.1182 0.2500 0.0533 (multiplicity 2)  1 Ni 2.67
2 Pm 0.2055 0.7500 0.3744 (multiplicity 2)  1 Ni 3.06, 2 Sn 3.32-3.36
3 Pm 0.3541 0.5070 0.7754 (multiplicity 4)  2 Ni 2.72-2.93
4 Ni 0.3478 0.7500 0.0512 (multiplicity 2)  5 Pm 2.67-2.93
5 Sn 0.2314 0.2500 0.4288 (multiplicity 2)  7 Pm 3.17-3.53

Values from the calculation:
DOS at the Fermi energy in states/eV per atom: 1.066
Size of the total moment in μB per atom: 0.000

---

# Pm4NiSn

A geometry-optimized Pm4NiSn structure (PBE-GGA, Alexandria).

Cell lengths 8.8460, 14.1918, 5.9975 Å; angles 90.00, 114.54, 90.00 degrees
With the nearest neighbours (Å) after each atom.
Space group C2/c (No. 15)
Inequivalent atoms, fractional coordinates:
1 Pm 0.1156 0.1864 0.0753 (multiplicity 8)  2 Ni 3.17-3.19, 2 Sn 3.25-3.28, 3 Pm 3.39-3.53
2 Pm 0.2265 0.4290 0.3452 (multiplicity 8)  2 Ni 2.81-2.89
3 Ni 0.0000 0.0000 0.2500 (multiplicity 4)  4 Pm 2.81-2.89, 2 Ni 3.00
4 Sn 0.0000 0.3800 0.7500 (multiplicity 4)  8 Pm 3.25-3.36

Values from the calculation:
DOS at the Fermi energy in states/eV per atom: 1.049
Size of the total moment in μB per atom: 0.000

---

# Pm3Ni4Sn4

A geometry-optimized Pm3Ni4Sn4 structure (PBE-GGA, Alexandria).

Cell lengths 4.2370, 4.3372, 26.0227 Å; angles 90.00, 90.00, 90.00 degrees
With the nearest neighbours (Å) after each atom.
Space group Immm (No. 71)
Inequivalent atoms, fractional coordinates:
1 Pm 0.0000 0.0000 0.0000 (multiplicity 2)  8 Ni 3.25, 4 Sn 3.29
2 Pm 0.0000 0.5000 0.1462 (multiplicity 4)  6 Ni 3.27-3.38, 8 Sn 3.29-3.48
3 Ni 0.0000 0.0000 0.4550 (multiplicity 4)  1 Ni 2.34, 2 Sn 2.55
4 Ni 0.0000 0.5000 0.3063 (multiplicity 4)  5 Sn 2.53-2.60
5 Sn 0.0000 0.0000 0.2508 (multiplicity 4)  4 Ni 2.59-2.60
6 Sn 0.0000 0.5000 0.4033 (multiplicity 4)  3 Ni 2.53-2.55

Values from the calculation:
DOS at the Fermi energy in states/eV per atom: 0.680
Size of the total moment in μB per atom: 0.000

---

# Pm3Ni8Sn

A geometry-optimized Pm3Ni8Sn structure (PBE-GGA, Alexandria).

Cell lengths 5.1077, 5.1077, 24.9744 Å; angles 90.00, 90.00, 120.00 degrees
With the nearest neighbours (Å) after each atom.
Space group R3m (No. 160, hexagonal axes)
Inequivalent atoms, fractional coordinates:
1 Pm 0.0000 0.0000 0.0000 (multiplicity 3)  12 Ni 2.99-3.02, 4 Pm 3.18
2 Pm 0.0000 0.0000 0.1274 (multiplicity 3)  12 Ni 2.91-3.02, 3 Sn 3.07, 1 Pm 3.18
3 Pm 0.0000 0.0000 0.6187 (multiplicity 3)  12 Ni 2.93-3.13, 1 Sn 3.10, 3 Pm 3.18
4 Ni 0.0000 0.0000 0.3124 (multiplicity 3)  6 Ni 2.55-2.58
5 Ni 0.0000 0.0000 0.8123 (multiplicity 3)  6 Ni 2.52-2.55
6 Ni 0.0006 0.5003 0.0626 (multiplicity 9)  6 Ni 2.55-2.56
7 Ni 0.0011 0.5005 0.5611 (multiplicity 9)  6 Ni 2.52-2.58
8 Sn 0.0000 0.0000 0.4944 (multiplicity 3)  12 Ni 2.87-3.05, 4 Pm 3.07-3.10

Values from the calculation:
DOS at the Fermi energy in states/eV per atom: 0.880
Size of the total moment in μB per atom: 0.000

---

# Pm6NiSn2

A geometry-optimized Pm6NiSn2 structure (PBE-GGA, Alexandria).

Cell lengths 8.8164, 8.8164, 3.8757 Å; angles 90.00, 90.00, 120.00 degrees
With the nearest neighbours (Å) after each atom.
Space group P-62m (No. 189)
Inequivalent atoms, fractional coordinates:
1 Pm 0.0000 0.4064 0.0000 (multiplicity 3)  4 Sn 3.30, 1 Ni 3.58, 6 Pm 3.67-3.68
2 Pm 0.0000 0.7611 0.5000 (multiplicity 3)  2 Ni 2.86
3 Ni 0.0000 0.0000 0.0000 (multiplicity 1)  6 Pm 2.86
4 Sn 0.3333 0.6667 0.5000 (multiplicity 2)  9 Pm 3.30-3.43

Values from the calculation:
DOS at the Fermi energy in states/eV per atom: 1.220
Size of the total moment in μB per atom: 0.000

---

Formation enthalpy at 0 K, record by record: -0.65; 0.25; -0.63; -0.51; -0.53; -0.28; -0.54; -0.27; -0.18; -0.66; -0.49; -0.23; -0.50; -0.31; -0.37; -0.34; -0.50; -0.34; -0.45 eV/atom